1.
VASP calculation (GGA-PBE) on crystalline Nd2SmC at its relaxed geometry.

Unit cell a=10.308 b=10.308 c=10.308 alpha=20.32 beta=20.32 gamma=20.32
Fractional coordinates of all 4 atoms:
Nd 0.120 0.120 0.120
Nd 0.880 0.880 0.880
Sm 0.000 0.000 0.000
C 0.500 0.500 0.500

ρ	6.47	g cm⁻³
calculated formation energy	0.047	eV per atom
volume	28.9	Å³ per atom
raw total energy	-23.3	eV for the cell shown

---

2.
VASP calculation (GGA-PBE) on crystalline Nd2Sm4C at its relaxed geometry.

Unit cell a=18.619 b=18.619 c=18.619 alpha=11.28 beta=11.28 gamma=11.28
Fractional coordinates of all 7 atoms:
Nd 0.245 0.245 0.245
Nd 0.755 0.755 0.755
Sm 0.140 0.140 0.140
Sm 0.359 0.359 0.359
Sm 0.641 0.641 0.641
Sm 0.860 0.860 0.860
C 0.000 0.000 0.000

ρ	6.98	g cm⁻³
calculated formation energy	-0.051	eV per atom
volume	30.7	Å³ per atom
raw total energy	-38.0	eV for the cell shown

---

3.
VASP calculation (GGA-PBE) on crystalline NdSmC4 at its relaxed geometry.

Unit cell a=3.813 b=3.813 c=6.423 alpha=90.00 beta=90.07 gamma=90.00
Fractional coordinates of all 6 atoms:
Nd 0.000 0.000 0.000
Sm 0.500 0.500 0.500
C 0.000 0.000 0.399
C 0.000 0.000 0.601
C 0.500 0.500 0.101
C 0.500 0.500 0.899

ρ	6.09	g cm⁻³
calculated formation energy	-0.129	eV per atom
volume	15.6	Å³ per atom
raw total energy	-47.2	eV for the cell shown

---

4.
VASP calculation (GGA-PBE) on crystalline NdSmC at its relaxed geometry.

Unit cell a=3.658 b=3.658 c=6.611 alpha=90.00 beta=90.00 gamma=120.00
Fractional coordinates of all 3 atoms:
Nd 0.000 0.000 0.000
Sm 0.333 0.667 0.425
C 0.667 0.333 0.219

ρ	6.65	g cm⁻³
calculated formation energy	-0.127	eV per atom
volume	25.5	Å³ per atom
raw total energy	-19.1	eV for the cell shown
excess energy over the best structure of this formula in the dataset	5.2	meV/atom

---

5.
VASP calculation (GGA-PBE) on crystalline NdSmC at its relaxed geometry.

Unit cell a=6.899 b=6.899 c=6.899 alpha=30.90 beta=30.90 gamma=30.90
Fractional coordinates of all 3 atoms:
Nd 0.000 0.000 0.000
Sm 0.524 0.524 0.524
C 0.260 0.260 0.260

ρ	6.63	g cm⁻³
calculated formation energy	-0.132	eV per atom
volume	25.6	Å³ per atom
raw total energy	-19.1	eV for the cell shown
excess energy over the best structure of this formula in the dataset	0.0	meV/atom

---

6.
VASP calculation (GGA-PBE) on crystalline Nd3SmC at its relaxed geometry.

Unit cell a=5.248 b=5.248 c=5.248 alpha=90.00 beta=90.00 gamma=90.00
Fractional coordinates of all 5 atoms:
Nd 0.000 0.000 0.500
Nd 0.000 0.500 0.000
Nd 0.500 0.000 0.000
Sm 0.500 0.500 0.500
C 0.000 0.000 0.000

ρ	6.84	g cm⁻³
calculated formation energy	0.104	eV per atom
volume	28.9	Å³ per atom
raw total energy	-27.7	eV for the cell shown

---

7.
VASP calculation (GGA-PBE) on crystalline NdSmC at its relaxed geometry.

Unit cell a=6.806 b=3.528 c=12.023 alpha=90.00 beta=90.00 gamma=90.00
Fractional coordinates of all 12 atoms:
Nd 0.077 0.250 0.250
Nd 0.423 0.750 0.750
Nd 0.577 0.250 0.250
Nd 0.923 0.750 0.750
Sm 0.216 0.750 0.001
Sm 0.284 0.250 0.501
Sm 0.716 0.750 0.499
Sm 0.784 0.250 0.999
C 0.081 0.250 0.871
C 0.419 0.750 0.371
C 0.581 0.250 0.629
C 0.919 0.750 0.129

ρ	7.05	g cm⁻³
calculated formation energy	0.033	eV per atom
volume	24.1	Å³ per atom
raw total energy	-74.4	eV for the cell shown
excess energy over the best structure of this formula in the dataset	165.1	meV/atom

---

8.
VASP calculation (GGA-PBE) on crystalline Nd2SmSnC at its relaxed geometry.

Unit cell a=5.107 b=5.107 c=5.038 alpha=90.00 beta=90.00 gamma=90.00
Fractional coordinates of all 5 atoms:
Nd 0.000 0.500 0.000
Nd 0.500 0.000 0.000
Sm 0.000 0.000 0.500
Sn 0.500 0.500 0.500
C 0.000 0.000 0.000

ρ	7.20	g cm⁻³
calculated formation energy	-0.490	eV per atom
volume	26.3	Å³ per atom
raw total energy	-29.9	eV for the cell shown

---

9.
VASP calculation (GGA-PBE) on crystalline Nd2SmTlC at its relaxed geometry.

Unit cell a=5.131 b=5.131 c=5.062 alpha=90.00 beta=90.00 gamma=90.00
Fractional coordinates of all 5 atoms:
Nd 0.000 0.500 0.000
Nd 0.500 0.000 0.000
Sm 0.000 0.000 0.500
Tl 0.500 0.500 0.500
C 0.000 0.000 0.000

ρ	8.17	g cm⁻³
calculated formation energy	-0.300	eV per atom
volume	26.6	Å³ per atom
raw total energy	-27.3	eV for the cell shown

---

10.
VASP calculation (GGA-PBE) on crystalline NdSm2TlC at its relaxed geometry.

Unit cell a=5.061 b=5.061 c=5.127 alpha=90.00 beta=90.00 gamma=90.00
Fractional coordinates of all 5 atoms:
Nd 0.000 0.000 0.000
Sm 0.000 0.500 0.500
Sm 0.500 0.000 0.500
Tl 0.500 0.500 0.000
C 0.000 0.000 0.500

ρ	8.36	g cm⁻³
calculated formation energy	-0.320	eV per atom
volume	26.3	Å³ per atom
raw total energy	-27.4	eV for the cell shown

---

11.
VASP calculation (GGA-PBE) on crystalline Nd4Sn2C at its relaxed geometry.

Unit cell a=6.816 b=6.901 c=9.592 alpha=90.00 beta=110.87 gamma=90.00
Fractional coordinates of all 14 atoms:
Nd 0.010 0.002 0.268
Nd 0.010 0.498 0.268
Nd 0.392 0.250 0.065
Nd 0.433 0.250 0.650
Nd 0.567 0.750 0.350
Nd 0.608 0.750 0.935
Nd 0.990 0.502 0.732
Nd 0.990 0.998 0.732
Sn 0.191 0.750 0.038
Sn 0.298 0.750 0.578
Sn 0.702 0.250 0.422
Sn 0.809 0.250 0.962
C 0.228 0.250 0.803
C 0.772 0.750 0.197

ρ	6.51	g cm⁻³
calculated formation energy	-0.449	eV per atom
volume	30.1	Å³ per atom
raw total energy	-78.9	eV for the cell shown
excess energy over the best structure of this formula in the dataset	79.9	meV/atom

---

12.
VASP calculation (GGA-PBE) on crystalline Nd12Sn6C at its relaxed geometry.

Unit cell a=8.528 b=8.528 c=8.528 alpha=92.45 beta=92.45 gamma=92.45
Fractional coordinates of all 19 atoms:
Nd 0.043 0.927 0.710
Nd 0.073 0.290 0.957
Nd 0.195 0.416 0.546
Nd 0.290 0.957 0.073
Nd 0.416 0.546 0.195
Nd 0.454 0.805 0.584
Nd 0.546 0.195 0.416
Nd 0.584 0.454 0.805
Nd 0.710 0.043 0.927
Nd 0.805 0.584 0.454
Nd 0.927 0.710 0.043
Nd 0.957 0.073 0.290
Sn 0.141 0.746 0.365
Sn 0.254 0.635 0.859
Sn 0.365 0.141 0.746
Sn 0.635 0.859 0.254
Sn 0.746 0.365 0.141
Sn 0.859 0.254 0.635
C 0.000 0.000 0.000

ρ	6.59	g cm⁻³
calculated formation energy	-0.495	eV per atom
volume	32.6	Å³ per atom
raw total energy	-99.9	eV for the cell shown

---

13.
VASP calculation (GGA-PBE) on crystalline Nd4Sn2C at its relaxed geometry.

Unit cell a=9.010 b=9.010 c=9.010 alpha=147.76 beta=147.76 gamma=46.24
Fractional coordinates of all 7 atoms:
Nd 0.000 0.500 0.500
Nd 0.162 0.162 0.000
Nd 0.500 0.000 0.500
Nd 0.838 0.838 0.000
Sn 0.361 0.361 0.000
Sn 0.639 0.639 0.000
C 0.000 0.000 0.000

ρ	6.62	g cm⁻³
calculated formation energy	-0.529	eV per atom
volume	29.6	Å³ per atom
raw total energy	-40.0	eV for the cell shown
excess energy over the best structure of this formula in the dataset	0.0	meV/atom

---

14.
VASP calculation (GGA-PBE) on crystalline Nd9Sn3C2 at its relaxed geometry.

Unit cell a=7.169 b=7.169 c=8.788 alpha=90.00 beta=90.00 gamma=120.00
Fractional coordinates of all 14 atoms:
Nd 0.000 0.500 0.000
Nd 0.169 0.338 0.669
Nd 0.169 0.831 0.669
Nd 0.338 0.169 0.331
Nd 0.500 0.000 0.000
Nd 0.500 0.500 0.000
Nd 0.662 0.831 0.669
Nd 0.831 0.169 0.331
Nd 0.831 0.662 0.331
Sn 0.000 0.000 0.000
Sn 0.333 0.667 0.332
Sn 0.667 0.333 0.668
C 0.333 0.667 0.824
C 0.667 0.333 0.176

ρ	7.12	g cm⁻³
calculated formation energy	-0.456	eV per atom
volume	27.9	Å³ per atom
raw total energy	-79.8	eV for the cell shown

---

15.
VASP calculation (GGA-PBE) on crystalline Nd3SnC at its relaxed geometry.

Unit cell a=5.815 b=5.815 c=5.815 alpha=90.00 beta=90.00 gamma=90.00
Fractional coordinates of all 5 atoms:
Nd 0.000 0.000 0.500
Nd 0.000 0.500 0.000
Nd 0.500 0.000 0.000
Sn 0.000 0.000 0.000
C 0.500 0.500 0.500

ρ	4.76	g cm⁻³
calculated formation energy	1.415	eV per atom
volume	39.3	Å³ per atom
raw total energy	-20.5	eV for the cell shown
excess energy over the best structure of this formula in the dataset	1886.9	meV/atom

---

16.
VASP calculation (GGA-PBE) on crystalline Nd4SnC at its relaxed geometry.

Unit cell a=6.289 b=6.289 c=9.975 alpha=90.00 beta=90.00 gamma=76.93
Fractional coordinates of all 12 atoms:
Nd 0.218 0.379 0.250
Nd 0.247 0.753 0.549
Nd 0.247 0.753 0.951
Nd 0.379 0.218 0.750
Nd 0.621 0.782 0.250
Nd 0.753 0.247 0.049
Nd 0.753 0.247 0.451
Nd 0.782 0.621 0.750
Sn 0.084 0.916 0.250
Sn 0.916 0.084 0.750
C 0.413 0.587 0.750
C 0.587 0.413 0.250

ρ	6.12	g cm⁻³
calculated formation energy	-0.165	eV per atom
volume	32.0	Å³ per atom
raw total energy	-66.6	eV for the cell shown

---

17.
VASP calculation (GGA-PBE) on crystalline Nd12Sn3C5 at its relaxed geometry.

Unit cell a=14.306 b=14.306 c=14.306 alpha=109.47 beta=109.47 gamma=109.47
Fractional coordinates of all 80 atoms:
Nd 0.019 0.201 0.115
Nd 0.019 0.318 0.905
Nd 0.087 0.701 0.682
Nd 0.087 0.885 0.405
Nd 0.095 0.615 0.413
Nd 0.095 0.981 0.682
Nd 0.115 0.019 0.201
Nd 0.115 0.595 0.913
Nd 0.182 0.201 0.587
Nd 0.182 0.481 0.595
Nd 0.201 0.115 0.019
Nd 0.201 0.587 0.182
Nd 0.299 0.318 0.913
Nd 0.299 0.481 0.385
Nd 0.318 0.905 0.019
Nd 0.318 0.913 0.299
Nd 0.385 0.299 0.481
Nd 0.385 0.587 0.905
Nd 0.405 0.087 0.885
Nd 0.405 0.818 0.519
Nd 0.413 0.095 0.615
Nd 0.413 0.818 0.799
Nd 0.481 0.385 0.299
Nd 0.481 0.595 0.182
Nd 0.519 0.405 0.818
Nd 0.519 0.615 0.701
Nd 0.587 0.182 0.201
Nd 0.587 0.905 0.385
Nd 0.595 0.182 0.481
Nd 0.595 0.913 0.115
Nd 0.615 0.413 0.095
Nd 0.615 0.701 0.519
Nd 0.682 0.087 0.701
Nd 0.682 0.095 0.981
Nd 0.701 0.519 0.615
Nd 0.701 0.682 0.087
Nd 0.799 0.413 0.818
Nd 0.799 0.885 0.981
Nd 0.818 0.519 0.405
Nd 0.818 0.799 0.413
Nd 0.885 0.405 0.087
Nd 0.885 0.981 0.799
Nd 0.905 0.019 0.318
Nd 0.905 0.385 0.587
Nd 0.913 0.115 0.595
Nd 0.913 0.299 0.318
Nd 0.981 0.682 0.095
Nd 0.981 0.799 0.885
Sn 0.125 0.250 0.375
Sn 0.125 0.375 0.750
Sn 0.250 0.375 0.125
Sn 0.250 0.875 0.625
Sn 0.375 0.125 0.250
Sn 0.375 0.750 0.125
Sn 0.625 0.250 0.875
Sn 0.625 0.875 0.750
Sn 0.750 0.125 0.375
Sn 0.750 0.625 0.875
Sn 0.875 0.625 0.250
Sn 0.875 0.750 0.625
C 0.000 0.000 0.000
C 0.000 0.000 0.500
C 0.000 0.500 0.000
C 0.000 0.500 0.500
C 0.125 0.750 0.875
C 0.125 0.875 0.250
C 0.250 0.125 0.875
C 0.250 0.625 0.375
C 0.375 0.250 0.625
C 0.375 0.625 0.750
C 0.500 0.000 0.000
C 0.500 0.000 0.500
C 0.500 0.500 0.000
C 0.500 0.500 0.500
C 0.625 0.375 0.250
C 0.625 0.750 0.375
C 0.750 0.375 0.625
C 0.750 0.875 0.125
C 0.875 0.125 0.750
C 0.875 0.250 0.125

ρ	6.33	g cm⁻³
calculated formation energy	-0.186	eV per atom
volume	28.2	Å³ per atom
raw total energy	-476.2	eV for the cell shown

---

18.
VASP calculation (GGA-PBE) on crystalline Nd7Sn4C at its relaxed geometry.

Unit cell a=8.592 b=8.592 c=11.373 alpha=124.54 beta=124.54 gamma=35.62
Fractional coordinates of all 12 atoms:
Nd 0.000 0.000 0.000
Nd 0.138 0.138 0.542
Nd 0.283 0.283 0.135
Nd 0.435 0.435 0.750
Nd 0.565 0.565 0.250
Nd 0.717 0.717 0.865
Nd 0.862 0.862 0.458
Sn 0.081 0.081 0.778
Sn 0.223 0.223 0.346
Sn 0.777 0.777 0.654
Sn 0.919 0.919 0.222
C 0.500 0.500 0.000

ρ	6.33	g cm⁻³
calculated formation energy	-0.363	eV per atom
volume	32.7	Å³ per atom
raw total energy	-63.0	eV for the cell shown

---

19.
VASP calculation (GGA-PBE) on crystalline Nd2TmSnC at its relaxed geometry.

Unit cell a=5.114 b=5.114 c=4.829 alpha=90.00 beta=90.00 gamma=90.00
Fractional coordinates of all 5 atoms:
Nd 0.000 0.500 0.000
Nd 0.500 0.000 0.000
Tm 0.000 0.000 0.500
Sn 0.500 0.500 0.500
C 0.000 0.000 0.000

ρ	7.73	g cm⁻³
calculated formation energy	-0.519	eV per atom
volume	25.3	Å³ per atom
raw total energy	-29.8	eV for the cell shown

---

20.
VASP calculation (GGA-PBE) on crystalline Nd2Tm2Sn2C at its relaxed geometry.

Unit cell a=8.890 b=8.890 c=8.890 alpha=148.83 beta=148.83 gamma=44.66
Fractional coordinates of all 7 atoms:
Nd 0.161 0.161 0.000
Nd 0.839 0.839 0.000
Tm 0.000 0.500 0.500
Tm 0.500 0.000 0.500
Sn 0.365 0.365 0.000
Sn 0.635 0.635 0.000
C 0.000 0.000 0.000

ρ	7.75	g cm⁻³
calculated formation energy	-0.729	eV per atom
volume	26.8	Å³ per atom
raw total energy	-40.8	eV for the cell shown

---

21.
VASP calculation (GGA-PBE) on crystalline Nd3YSn2C at its relaxed geometry.

Unit cell a=8.976 b=8.976 c=8.976 alpha=148.60 beta=147.74 gamma=45.64
Fractional coordinates of all 7 atoms:
Nd 0.000 0.000 0.000
Nd 0.338 0.838 0.500
Nd 0.662 0.162 0.500
Y 0.500 0.500 0.000
Sn 0.138 0.638 0.500
Sn 0.862 0.362 0.500
C 0.500 0.000 0.500

ρ	6.39	g cm⁻³
calculated formation energy	-0.609	eV per atom
volume	28.6	Å³ per atom
raw total energy	-42.3	eV for the cell shown